## BaTiTeI2 (PBE)

Data for crystalline BaTiTeI2 at its relaxed geometry.

Values from the calculation:
The calculation puts the final energy at -4.1510 eV per atom. For the energy relative to the elements, uncorrected, the calculation gives -0.94 eV/atom. Its total magnetization is 0.400 μB/atom.

a b c (Å): 5.6884 5.6884 5.5997
angles (deg): 90.00 90.00 90.00
Closest atoms and distances in Å follow each position.
Space group P4/mmm (No. 123)
Symmetry-distinct sites (fractional):
1 Ba 0.0000 0.0000 0.0000 [1 per cell]  8 I 3.99, 4 Te 4.02
2 Ti 0.5000 0.5000 0.5000 [1 per cell]  2 Te 2.80, 4 I 2.84
3 Te 0.5000 0.5000 0.0000 [1 per cell]  2 Ti 2.80
4 I 0.0000 0.5000 0.5000 [2 per cell]  2 Ti 2.84